Entry w
An optimized crystal structure of Os2BrN, computed with PBE.

The structure belongs to space group Fm-3m (No. 225); the cell edges are 5.954, 5.954 and 5.954 Å and the angles 90.00°, 90.00° and 90.00°. Symmetry generates all atoms from Os at (0.250, 0.250, 0.250), Br at (0.000, 0.000, 0.000) and N at (0.000, 0.000, 0.500).

Entry x
An optimized crystal structure of Os2BrN, computed with PBE.

The structure belongs to space group I-42d (No. 122); the cell edges are 5.062, 5.062 and 10.391 Å and the angles 90.00°, 90.00° and 90.00°. Symmetry generates all atoms from Os at (0.143, 0.250, 0.125), Br at (0.000, 0.000, 0.500) and N at (0.000, 0.000, 0.000).

The structure with the most favorable energy is entry x; the runner-up is 996 meV/atom above it.

Entry w
An optimized crystal structure of Os2BrN2, computed with PBE.

The structure belongs to space group P4/mbm (No. 127); the cell edges are 7.225, 7.225 and 2.686 Å and the angles 90.00°, 90.00° and 90.00°. Symmetry generates all atoms from Os at (0.120, 0.380, 0.000), Br at (0.000, 0.000, 0.000) and N at (0.115, 0.615, 0.500).

Entry x
An optimized crystal structure of Os2BrN2, computed with PBE.

The structure belongs to space group I4/mmm (No. 139); the cell edges are 3.441, 3.441 and 12.174 Å and the angles 90.00°, 90.00° and 90.00°. Symmetry generates all atoms from Os at (0.000, 0.000, 0.163), Br at (0.000, 0.000, 0.500) and N at (0.000, 0.500, 0.250).

The structure with the most favorable energy is entry x; the runner-up is 527 meV/atom above it.

Entry w
An optimized crystal structure of OsS2BrN, computed with PBE.

The structure belongs to space group P4/mmm (No. 123); the cell edges are 4.841, 4.841 and 3.728 Å and the angles 90.00°, 90.00° and 90.00°. Symmetry generates all atoms from Os at (0.000, 0.000, 0.000), S at (0.000, 0.500, 0.000), Br at (0.500, 0.500, 0.500) and N at (0.000, 0.000, 0.500).

Entry x
An optimized crystal structure of OsS2BrN, computed with PBE.

The structure belongs to space group P4/mmm (No. 123); the cell edges are 4.859, 4.859 and 3.518 Å and the angles 90.00°, 90.00° and 90.00°. Symmetry generates all atoms from Os at (0.000, 0.000, 0.000), S at (0.000, 0.500, 0.500), Br at (0.500, 0.500, 0.500) and N at (0.500, 0.500, 0.000).

The structure with the most favorable energy is entry w; the runner-up is 1724 meV/atom above it.

Entry w
An optimized crystal structure of Te2OsBrN, computed with PBE.

The structure belongs to space group P4/mmm (No. 123); the cell edges are 5.576, 5.576 and 3.675 Å and the angles 90.00°, 90.00° and 90.00°. Symmetry generates all atoms from Te at (0.000, 0.500, 0.000), Os at (0.000, 0.000, 0.000), Br at (0.500, 0.500, 0.500) and N at (0.000, 0.000, 0.500).

Entry x
An optimized crystal structure of Te2OsBrN, computed with PBE.

The structure belongs to space group P4/mmm (No. 123); the cell edges are 5.444, 5.444 and 3.559 Å and the angles 90.00°, 90.00° and 90.00°. Symmetry generates all atoms from Te at (0.000, 0.500, 0.000), Os at (0.000, 0.000, 0.500), Br at (0.500, 0.500, 0.000) and N at (0.500, 0.500, 0.500).

The structure with the most favorable energy is entry w; the runner-up is 1716 meV/atom above it.